The following is a PBE calculation of a relaxed structure of Mg2Sc3Zn, from the Alexandria database.

a = 3.4506 Å, b = 3.4506 Å, c = 10.9500 Å
α = 90.00°, β = 90.00°, γ = 90.00°
Atoms (fractional coordinates):
Mg: 0.0000 0.0000 0.1748
Mg: 0.0000 0.0000 0.8252
Sc: 0.5000 0.5000 0.0000
Sc: 0.5000 0.5000 0.3545
Sc: 0.5000 0.5000 0.6455
Zn: 0.0000 0.0000 0.5000

## Properties
- total energy (eV/atom) = -4.055
- ΔE_f (eV/f.u.) = -0.875
- total moment (μB/f.u.) = 0.20
- space-group type = P4/mmm (123)

---

The following is a PBE calculation of a relaxed structure of Mg2ScZn2, from the Alexandria database.

a = 7.7018 Å, b = 7.7018 Å, c = 3.2948 Å
α = 90.00°, β = 90.00°, γ = 90.00°
Atoms (fractional coordinates):
Mg: 0.1758 0.3242 0.0000
Mg: 0.3242 0.8242 0.0000
Mg: 0.6758 0.1758 0.0000
Mg: 0.8242 0.6758 0.0000
Sc: 0.0000 0.0000 0.5000
Sc: 0.5000 0.5000 0.5000
Zn: 0.1224 0.6224 0.5000
Zn: 0.3776 0.1224 0.5000
Zn: 0.6224 0.8776 0.5000
Zn: 0.8776 0.3776 0.5000

## Properties
- total energy (eV/atom) = -2.515
- energy above the lowest structure with this stoichiometry (meV per atom) = 9
- ΔE_f (eV/f.u.) = -0.505
- total moment (μB/f.u.) = 0.00
- space-group type = P4/mbm (127)

---

The following is a PBE calculation of a relaxed structure of MgScZn, from the Alexandria database.

a = 4.6825 Å, b = 4.6825 Å, c = 3.1875 Å
α = 90.00°, β = 90.00°, γ = 120.00°
Atoms (fractional coordinates):
Mg: 0.0000 0.0000 0.0000
Sc: 0.3333 0.6667 0.5000
Zn: 0.6667 0.3333 0.0000

## Properties
- total energy (eV/atom) = -3.216
- ΔE_f (eV/f.u.) = -0.447
- total moment (μB/f.u.) = 0.00
- space-group type = P-6m2 (187)

---

The following is a PBE calculation of a relaxed structure of Mg2Sc3Zn2, from the Alexandria database.

a = 5.5561 Å, b = 5.5561 Å, c = 6.1406 Å
α = 91.71°, β = 91.71°, γ = 49.54°
Atoms (fractional coordinates):
Mg: 0.1946 0.1946 0.1821
Mg: 0.8054 0.8054 0.8179
Sc: 0.1138 0.1138 0.6799
Sc: 0.5000 0.5000 0.0000
Sc: 0.8862 0.8862 0.3201
Zn: 0.3864 0.3864 0.5718
Zn: 0.6136 0.6136 0.4282

## Properties
- total energy (eV/atom) = -3.704
- ΔE_f (eV/f.u.) = -1.199
- total moment (μB/f.u.) = 0.00
- space-group type = C2/m (12)

---

The following is a PBE calculation of a relaxed structure of MgSc2Zn, from the Alexandria database.

a = 9.7823 Å, b = 9.7823 Å, c = 9.7823 Å
α = 19.21°, β = 19.21°, γ = 19.21°
Atoms (fractional coordinates):
Mg: 0.0000 0.0000 0.0000
Sc: 0.2423 0.2423 0.2423
Sc: 0.4842 0.4842 0.4842
Zn: 0.7414 0.7414 0.7414

## Properties
- total energy (eV/atom) = -3.899
- ΔE_f (eV/f.u.) = -0.066
- total moment (μB/f.u.) = 0.84
- space-group type = R3m (160)

---

The following is a PBE calculation of a relaxed structure of MgScZn, from the Alexandria database.

a = 4.5594 Å, b = 4.5594 Å, c = 4.5775 Å
α = 119.86°, β = 119.86°, γ = 60.20°
Atoms (fractional coordinates):
Mg: 0.0000 0.0000 0.0000
Sc: 0.4998 0.4998 0.4982
Zn: 0.2499 0.2499 0.7492

## Properties
- total energy (eV/atom) = -3.064
- ΔE_f (eV/f.u.) = 0.009
- total moment (μB/f.u.) = 0.89
- space-group type = Cm (8)